Entry 1:
8
Lattice="3.2301 0.0000 0.0000 0.0000 3.2301 0.0000 0.0000 0.0000 19.5473" Properties=species:S:1:pos:R:3 comment="PBE LiPu3Au4, relaxed" energy_ev_per_atom=-7.23 dos_ef_per_ev_atom=3.026 pbc="T T T"
Li 0.0000 0.0000 0.0000
Pu 0.0000 0.0000 3.0712
Pu 0.0000 0.0000 9.7737
Pu 0.0000 0.0000 16.4761
Au 1.6150 1.6150 5.0454
Au 1.6150 1.6150 7.7520
Au 1.6150 1.6150 11.7953
Au 1.6150 1.6150 14.5019

Entry 2:
4
Lattice="0.0000 3.9166 3.9166 3.9166 0.0000 3.9166 3.9166 3.9166 0.0000" Properties=species:S:1:pos:R:3 comment="PBE NdHgBiPb, relaxed" relative_energy_mev_per_atom=118 dos_ef_per_ev_atom=0.764 pbc="T T T"
Nd 0.0000 0.0000 0.0000
Hg 1.9583 1.9583 1.9583
Bi 5.8749 5.8749 5.8749
Pb 3.9166 3.9166 3.9166

Entry 3:
12
Lattice="4.0891 0.0000 0.0000 0.0000 4.0891 0.0000 0.0000 0.0000 12.2557" Properties=species:S:1:pos:R:3 comment="PBE Y2ScPt9, relaxed" energy_ev_per_atom=-7.15 dos_ef_per_ev_atom=0.926 pbc="T T T"
Y 0.0000 0.0000 2.0771
Y 0.0000 0.0000 10.1786
Sc 0.0000 0.0000 6.1279
Pt 0.0000 2.0446 0.0000
Pt 0.0000 2.0446 4.1845
Pt 0.0000 2.0446 8.0712
Pt 2.0446 0.0000 0.0000
Pt 2.0446 0.0000 4.1845
Pt 2.0446 0.0000 8.0712
Pt 2.0446 2.0446 2.0898
Pt 2.0446 2.0446 6.1279
Pt 2.0446 2.0446 10.1659

Entry 4:
12
Lattice="2.4591 1.4197 8.0565 -2.4591 1.4197 8.0565 0.0000 -2.8395 8.0565" Properties=species:S:1:pos:R:3 comment="PBE TmSc3Ni8, relaxed" relative_energy_mev_per_atom=0 dos_ef_per_ev_atom=0.727 pbc="T T T"
Tm 0.0000 0.0000 0.0000
Sc 0.0000 0.0000 3.0524
Sc 0.0000 0.0000 12.0398
Sc 0.0000 0.0000 15.0233
Ni 0.0000 -1.4164 5.4991
Ni -1.2266 0.7082 5.4991
Ni -1.2285 -0.7093 9.5738
Ni 0.0000 0.0000 7.5313
Ni 1.2266 0.7082 5.4991
Ni 1.2285 -0.7093 9.5738
Ni 0.0000 1.4185 9.5738
Ni 0.0000 0.0000 19.6211